## A
The following is a PBE calculation of a geometry-optimized RbIn2Sb2 structure, from Alexandria.

Values from the calculation:
Total magnetization in μB per formula unit: 0.0
Calculated volume in Å³ per cell: 187.77
Space group: I4/mmm, No. 139

Cell lengths 4.974, 4.974, 8.365 Å; angles 72.70, 72.70, 90.00 degrees
Element x y z (fractional)
Sb (0.362, 0.362, 0.276)
Sb (0.638, 0.638, 0.724)
Rb (0.000, 0.000, 0.000)
In (0.750, 0.250, 0.500)
In (0.250, 0.750, 0.500)

---

## B
The following is a PBE calculation of a geometry-optimized RbIn2Sb2 structure, from Alexandria.

Values from the calculation:
Total magnetization in μB per formula unit: 0.0
Calculated volume in Å³ per cell: 316.15
Space group: P4/mbm, No. 127

Cell lengths 9.381, 9.381, 3.593 Å; angles 90.00, 90.00, 90.00 degrees
Element x y z (fractional)
Sb (0.167, 0.667, 0.500)
Sb (0.667, 0.833, 0.500)
Sb (0.833, 0.333, 0.500)
Sb (0.333, 0.167, 0.500)
Rb (0.000, 0.000, 0.000)
Rb (0.500, 0.500, 0.000)
In (0.373, 0.873, 0.000)
In (0.873, 0.627, 0.000)
In (0.627, 0.127, 0.000)
In (0.127, 0.373, 0.000)

---

Stability check: which of them is least stable? B.

---

## A
The following is a PBE calculation of a geometry-optimized Rb3InSb structure, from Alexandria.

Values from the calculation:
Total magnetization in μB per formula unit: 1.0
Calculated volume in Å³ per cell: 352.50
Space group: Pm-3m, No. 221

Cell lengths 7.064, 7.064, 7.064 Å; angles 90.00, 90.00, 90.00 degrees
Element x y z (fractional)
Sb (0.000, 0.000, 0.000)
Rb (0.000, 0.500, 0.000)
Rb (0.000, 0.000, 0.500)
Rb (0.500, 0.000, 0.000)
In (0.500, 0.500, 0.500)

---

## B
The following is a PBE calculation of a geometry-optimized Rb3InSb structure, from Alexandria.

Values from the calculation:
Total magnetization in μB per formula unit: 0.7
Calculated volume in Å³ per cell: 565.42
Space group: Ima2, No. 46

Cell lengths 9.100, 9.100, 9.100 Å; angles 99.40, 117.47, 112.05 degrees
Element x y z (fractional)
Rb (0.922, 0.160, 0.686)
Rb (0.922, 0.736, 0.262)
Rb (0.474, 0.660, 0.738)
Rb (0.921, 0.246, 0.175)
Rb (0.474, 0.236, 0.314)
Rb (0.072, 0.746, 0.825)
In (0.378, 0.124, 0.754)
In (0.369, 0.624, 0.246)
Sb (0.577, 0.892, 0.185)
Sb (0.707, 0.392, 0.815)

---

Stability check: which of them is least stable? A.

---

## A
The following is a PBE calculation of a geometry-optimized Rb2InSb structure, from Alexandria.

Values from the calculation:
Total magnetization in μB per formula unit: 0.0
Calculated volume in Å³ per cell: 162.00
Space group: Fm-3m, No. 225

Cell lengths 6.119, 6.119, 6.119 Å; angles 60.00, 60.00, 60.00 degrees
Element x y z (fractional)
Sb (0.500, 0.500, 0.500)
Rb (0.250, 0.250, 0.250)
Rb (0.750, 0.750, 0.750)
In (0.000, 0.000, 0.000)

---

## B
The following is a PBE calculation of a geometry-optimized Rb2InSb structure, from Alexandria.

Values from the calculation:
Total magnetization in μB per formula unit: 0.0
Calculated volume in Å³ per cell: 334.72
Space group: Cmcm, No. 63

Cell lengths 6.380, 7.304, 7.304 Å; angles 100.41, 90.00, 90.00 degrees
Element x y z (fractional)
Rb (0.750, 0.023, 0.678)
Rb (0.250, 0.977, 0.322)
Rb (0.250, 0.322, 0.977)
Rb (0.750, 0.678, 0.023)
In (0.000, 0.500, 0.500)
In (0.500, 0.500, 0.500)
Sb (0.750, 0.208, 0.208)
Sb (0.250, 0.792, 0.792)

---

## C
The following is a PBE calculation of a geometry-optimized Rb2InSb structure, from Alexandria.

Values from the calculation:
Total magnetization in μB per formula unit: 0.0
Calculated volume in Å³ per cell: 411.99
Space group: C2/c, No. 15

Cell lengths 5.988, 12.199, 7.116 Å; angles 116.19, 114.88, 90.00 degrees
Element x y z (fractional)
Rb (0.236, 0.595, 0.360)
Rb (0.764, 0.405, 0.640)
Rb (0.124, 0.095, 0.360)
Rb (0.876, 0.905, 0.640)
In (0.324, 0.750, 0.000)
In (0.676, 0.250, 0.000)
Sb (0.178, 0.250, 0.000)
Sb (0.822, 0.750, 0.000)

---

Stability check: which of them is least stable? A.

---

## A
The following is a PBE calculation of a geometry-optimized RbTlInSb structure, from Alexandria.

Values from the calculation:
Total magnetization in μB per formula unit: 0.0
Calculated volume in Å³ per cell: 156.63
Space group: R3m, No. 160

Cell lengths 5.006, 5.006, 7.775 Å; angles 71.22, 71.22, 60.00 degrees
Element x y z (fractional)
Rb (0.811, 0.811, 0.568)
Tl (0.256, 0.256, 0.233)
In (0.634, 0.634, 0.097)
Sb (0.025, 0.025, 0.924)

---

## B
The following is a PBE calculation of a geometry-optimized RbTlInSb structure, from Alexandria.

Values from the calculation:
Total magnetization in μB per formula unit: 0.0
Calculated volume in Å³ per cell: 135.54
Space group: F-43m, No. 216

Cell lengths 5.766, 5.766, 5.766 Å; angles 60.00, 60.00, 60.00 degrees
Element x y z (fractional)
Sb (0.500, 0.500, 0.500)
Tl (0.250, 0.250, 0.250)
Rb (0.000, 0.000, 0.000)
In (0.750, 0.750, 0.750)

---

Stability check: which of them is least stable? B.

---

## A
The following is a PBE calculation of a geometry-optimized RbIn2Se2 structure, from Alexandria.

Values from the calculation:
Total magnetization in μB per formula unit: 0.0
Calculated volume in Å³ per cell: 304.03
Space group: P4/mbm, No. 127

Cell lengths 8.745, 8.745, 3.975 Å; angles 90.00, 90.00, 90.00 degrees
Element x y z (fractional)
Se (0.350, 0.850, 0.000)
Se (0.850, 0.650, 0.000)
Se (0.650, 0.150, 0.000)
Se (0.150, 0.350, 0.000)
Rb (0.000, 0.000, 0.000)
Rb (0.500, 0.500, 0.000)
In (0.131, 0.631, 0.500)
In (0.631, 0.869, 0.500)
In (0.869, 0.369, 0.500)
In (0.369, 0.131, 0.500)

---

## B
The following is a PBE calculation of a geometry-optimized RbIn2Se2 structure, from Alexandria.

Values from the calculation:
Total magnetization in μB per formula unit: 0.0
Calculated volume in Å³ per cell: 153.73
Space group: I4/mmm, No. 139

Cell lengths 5.482, 5.482, 6.419 Å; angles 64.72, 64.72, 90.00 degrees
Element x y z (fractional)
Se (0.750, 0.250, 0.500)
Se (0.250, 0.750, 0.500)
Rb (0.000, 0.000, 0.000)
In (0.351, 0.351, 0.299)
In (0.649, 0.649, 0.701)

---

## C
The following is a PBE calculation of a geometry-optimized RbIn2Se2 structure, from Alexandria.

Values from the calculation:
Total magnetization in μB per formula unit: 0.0
Calculated volume in Å³ per cell: 347.27
Space group: C2/m, No. 12

Cell lengths 6.954, 7.426, 8.593 Å; angles 117.97, 116.37, 84.75 degrees
Element x y z (fractional)
Rb (0.225, 0.725, 0.950)
Rb (0.775, 0.275, 0.050)
In (0.535, 0.254, 0.500)
In (0.120, 0.120, 0.740)
In (0.465, 0.746, 0.500)
In (0.880, 0.880, 0.260)
Se (0.682, 0.682, 0.864)
Se (0.890, 0.727, 0.500)
Se (0.110, 0.273, 0.500)
Se (0.318, 0.318, 0.136)

---

## D
The following is a PBE calculation of a geometry-optimized RbIn2Se2 structure, from Alexandria.

Values from the calculation:
Total magnetization in μB per formula unit: 0.0
Calculated volume in Å³ per cell: 155.80
Space group: I4/mmm, No. 139

Cell lengths 4.629, 4.629, 7.975 Å; angles 73.13, 73.13, 90.00 degrees
Element x y z (fractional)
Se (0.410, 0.410, 0.179)
Se (0.590, 0.590, 0.821)
Rb (0.000, 0.000, 0.000)
In (0.750, 0.250, 0.500)
In (0.250, 0.750, 0.500)

---

Stability check: which of them is least stable? A.

---

## A
The following is a PBE calculation of a geometry-optimized Rb2InSe structure, from Alexandria.

Values from the calculation:
Total magnetization in μB per formula unit: 0.0
Calculated volume in Å³ per cell: 154.31
Space group: Fm-3m, No. 225

Cell lengths 6.021, 6.021, 6.021 Å; angles 60.00, 60.00, 60.00 degrees
Element x y z (fractional)
Se (0.000, 0.000, 0.000)
Rb (0.250, 0.250, 0.250)
Rb (0.750, 0.750, 0.750)
In (0.500, 0.500, 0.500)

---

## B
The following is a PBE calculation of a geometry-optimized Rb2InSe structure, from Alexandria.

Values from the calculation:
Total magnetization in μB per formula unit: 1.0
Calculated volume in Å³ per cell: 389.63
Space group: I-42d, No. 122

Cell lengths 10.993, 10.993, 8.415 Å; angles 49.22, 49.22, 90.00 degrees
Element x y z (fractional)
Se (0.500, 0.500, 0.000)
Se (0.250, 0.750, 0.500)
Rb (0.519, 0.125, 0.250)
Rb (0.231, 0.625, 0.250)
Rb (0.375, 0.481, 0.750)
Rb (0.875, 0.769, 0.750)
In (0.000, 0.000, 0.000)
In (0.750, 0.250, 0.500)

---

Stability check: which of them is least stable? A.

---

## A
The following is a PBE calculation of a geometry-optimized RbInSi3 structure, from Alexandria.

Values from the calculation:
Total magnetization in μB per formula unit: 0.0
Calculated volume in Å³ per cell: 180.31
Space group: Pm-3m, No. 221

Cell lengths 5.649, 5.649, 5.649 Å; angles 90.00, 90.00, 90.00 degrees
Element x y z (fractional)
Si (0.000, 0.500, 0.000)
Si (0.000, 0.000, 0.500)
Si (0.500, 0.000, 0.000)
Rb (0.000, 0.000, 0.000)
In (0.500, 0.500, 0.500)

---

## B
The following is a PBE calculation of a geometry-optimized RbInSi3 structure, from Alexandria.

Values from the calculation:
Total magnetization in μB per formula unit: 0.0
Calculated volume in Å³ per cell: 154.07
Space group: Pm-3m, No. 221

Cell lengths 5.361, 5.361, 5.361 Å; angles 90.00, 90.00, 90.00 degrees
Element x y z (fractional)
Si (0.000, 0.500, 0.000)
Si (0.000, 0.000, 0.500)
Si (0.500, 0.000, 0.000)
Rb (0.500, 0.500, 0.500)
In (0.000, 0.000, 0.000)

---

Stability check: which of them is least stable? A.

---

## A
The following is a PBE calculation of a geometry-optimized RbIn2Si2 structure, from Alexandria.

Values from the calculation:
Total magnetization in μB per formula unit: 0.0
Calculated volume in Å³ per cell: 133.86
Space group: I4/mmm, No. 139

Cell lengths 4.808, 4.808, 6.716 Å; angles 69.03, 69.03, 90.00 degrees
Element x y z (fractional)
Si (0.750, 0.250, 0.500)
Si (0.250, 0.750, 0.500)
Rb (0.000, 0.000, 0.000)
In (0.373, 0.373, 0.254)
In (0.627, 0.627, 0.746)

---

## B
The following is a PBE calculation of a geometry-optimized RbIn2Si2 structure, from Alexandria.

Values from the calculation:
Total magnetization in μB per formula unit: 0.0
Calculated volume in Å³ per cell: 264.59
Space group: P4/mbm, No. 127

Cell lengths 8.713, 8.713, 3.485 Å; angles 90.00, 90.00, 90.00 degrees
Element x y z (fractional)
Si (0.389, 0.889, 0.000)
Si (0.889, 0.611, 0.000)
Si (0.611, 0.111, 0.000)
Si (0.111, 0.389, 0.000)
Rb (0.000, 0.000, 0.000)
Rb (0.500, 0.500, 0.000)
In (0.155, 0.655, 0.500)
In (0.655, 0.845, 0.500)
In (0.845, 0.345, 0.500)
In (0.345, 0.155, 0.500)

---

Stability check: which of them is least stable? B.

---

## A
The following is a PBE calculation of a geometry-optimized Rb2InSi2 structure, from Alexandria.

Values from the calculation:
Total magnetization in μB per formula unit: 0.0
Calculated volume in Å³ per cell: 195.48
Space group: I4/mmm, No. 139

Cell lengths 5.427, 5.427, 7.667 Å; angles 69.27, 69.27, 90.00 degrees
Element x y z (fractional)
Si (0.419, 0.419, 0.162)
Si (0.581, 0.581, 0.838)
Rb (0.750, 0.250, 0.500)
Rb (0.250, 0.750, 0.500)
In (0.000, 0.000, 0.000)

---

## B
The following is a PBE calculation of a geometry-optimized Rb2InSi2 structure, from Alexandria.

Values from the calculation:
Total magnetization in μB per formula unit: 0.0
Calculated volume in Å³ per cell: 351.05
Space group: P4/mbm, No. 127

Cell lengths 9.894, 9.894, 3.586 Å; angles 90.00, 90.00, 90.00 degrees
Element x y z (fractional)
Si (0.420, 0.920, 0.000)
Si (0.920, 0.580, 0.000)
Si (0.580, 0.080, 0.000)
Si (0.080, 0.420, 0.000)
Rb (0.208, 0.708, 0.500)
Rb (0.708, 0.792, 0.500)
Rb (0.792, 0.292, 0.500)
Rb (0.292, 0.208, 0.500)
In (0.000, 0.000, 0.000)
In (0.500, 0.500, 0.000)

---

Stability check: which of them is least stable? B.

---

## A
The following is a PBE calculation of a geometry-optimized Rb2InSi structure, from Alexandria.

Values from the calculation:
Total magnetization in μB per formula unit: 0.0
Calculated volume in Å³ per cell: 295.32
Space group: I-42d, No. 122

Cell lengths 4.859, 4.859, 12.973 Å; angles 79.21, 79.21, 90.00 degrees
Element x y z (fractional)
Si (0.500, 0.500, 0.000)
Si (0.250, 0.750, 0.500)
Rb (0.619, 0.125, 0.250)
Rb (0.131, 0.625, 0.250)
Rb (0.375, 0.381, 0.750)
Rb (0.875, 0.869, 0.750)
In (0.000, 0.000, 0.000)
In (0.750, 0.250, 0.500)

---

## B
The following is a PBE calculation of a geometry-optimized Rb2InSi structure, from Alexandria.

Values from the calculation:
Total magnetization in μB per formula unit: 1.0
Calculated volume in Å³ per cell: 154.36
Space group: Fm-3m, No. 225

Cell lengths 6.021, 6.021, 6.021 Å; angles 60.00, 60.00, 60.00 degrees
Element x y z (fractional)
Si (0.000, 0.000, 0.000)
Rb (0.250, 0.250, 0.250)
Rb (0.750, 0.750, 0.750)
In (0.500, 0.500, 0.500)

---

Stability check: which of them is least stable? A.